{
  "formula": "Li11FeW7O28",
  "functional": "PBEsol",
  "state": "relaxed",
  "space_group": "Cm (8)",
  "dft_energy_ev_per_cell": -374.26,
  "cell": [[-4.892, 6.524, 0.334], [-4.296, -2.938, -6.561], [-5.139, -4.169, 5.132]],
  "species": ["Li", "Li", "Li", "Li", "Li", "Li", "Li", "Li", "Li", "Li", "Li", "Fe", "W", "W", "W", "W", "W", "W", "W", "O", "O", "O", "O", "O", "O", "O", "O", "O", "O", "O", "O", "O", "O", "O", "O", "O", "O", "O", "O", "O", "O", "O", "O", "O", "O", "O", "O"],
  "frac_coords": [[0.096, 0.645, 0.339], [0.096, 0.339, 0.645], [0.354, 0.650, 0.084], [0.359, 0.912, 0.350], [0.354, 0.084, 0.650], [0.359, 0.350, 0.912], [0.642, 0.353, 0.096], [0.642, 0.096, 0.353], [0.638, 0.902, 0.649], [0.638, 0.649, 0.902], [0.908, 0.351, 0.351], [0.878, 0.627, 0.627], [0.999, 0.501, 0.990], [0.999, 0.990, 0.501], [0.361, 0.357, 0.357], [0.340, 0.644, 0.644], [0.503, 0.000, 0.000], [0.639, 0.649, 0.356], [0.639, 0.356, 0.649], [0.147, 0.391, 0.391], [0.120, 0.625, 0.625], [0.122, 0.626, 0.112], [0.122, 0.112, 0.626], [0.126, 0.877, 0.374], [0.126, 0.374, 0.877], [0.378, 0.874, 0.123], [0.378, 0.123, 0.874], [0.395, 0.614, 0.400], [0.395, 0.400, 0.614], [0.384, 0.389, 0.147], [0.384, 0.147, 0.389], [0.382, 0.852, 0.617], [0.382, 0.617, 0.852], [0.627, 0.622, 0.146], [0.627, 0.146, 0.622], [0.618, 0.859, 0.383], [0.618, 0.383, 0.859], [0.611, 0.395, 0.395], [0.635, 0.614, 0.614], [0.625, 0.126, 0.126], [0.628, 0.878, 0.878], [0.875, 0.385, 0.121], [0.875, 0.121, 0.385], [0.875, 0.852, 0.622], [0.875, 0.622, 0.852], [0.862, 0.620, 0.400], [0.862, 0.400, 0.620]]
}

{
  "formula": "LiZnFeO3",
  "functional": "PBEsol",
  "state": "relaxed",
  "space_group": "Imm2 (44)",
  "dft_energy_ev_per_cell": -36.88,
  "cell": [[2.978, 0.000, 0.000], [0.000, 4.000, 0.000], [-1.489, -2.000, 4.550]],
  "species": ["Zn", "Fe", "O", "O", "O", "Li"],
  "frac_coords": [[0.342, 0.342, 0.684], [0.662, 0.662, 0.323], [0.008, 0.508, 0.017], [0.318, 0.818, 0.635], [0.667, 0.167, 0.333], [0.003, 0.003, 0.007]]
}

no.,calculated density (g/cm³)
1,5.4
2,5.4